BaInP | PBE-GGA | relaxed

Cell and atoms, written as extended XYZ:
```
3
Lattice="4.377 0.000 0.000 -2.189 3.791 0.000 0.000 0.000 5.806" Properties=species:S:1:pos:R:3 pbc="T T T"
Ba 0.000 0.000 0.000
In 2.189 1.264 2.685
P 0.000 2.527 3.902
```

For the total magnetization, the calculation gives 0.00 μB per cell. The space group is No. 156. The calculated formation energy comes out at -0.644 eV per atom.



Ba7In2P2 | PBE-GGA | relaxed

Cell and atoms, written as extended XYZ:
```
11
Lattice="4.636 -6.324 0.000 4.636 6.324 0.000 0.000 0.000 8.070" Properties=species:S:1:pos:R:3 pbc="T T T"
Ba 0.000 0.000 0.000
Ba 2.318 3.162 2.115
Ba 2.318 3.162 5.954
Ba 2.318 -3.162 2.115
Ba 2.318 -3.162 5.954
Ba 4.636 0.000 1.966
Ba 4.636 0.000 6.104
In 1.480 0.000 4.035
In 7.791 0.000 4.035
P 4.636 2.652 0.000
P 4.636 -2.652 0.000
```

For the total magnetization, the calculation gives 1.64 μB per cell. The space group is No. 65. The calculated formation energy comes out at -0.545 eV per atom.



BaIn2P2 | PBE-GGA | relaxed

Cell and atoms, written as extended XYZ:
```
5
Lattice="-2.259 2.259 6.545 2.259 -2.259 6.545 2.259 2.259 -6.545" Properties=species:S:1:pos:R:3 pbc="T T T"
Ba 0.000 0.000 0.000
In 2.259 0.000 3.272
In 0.000 2.259 3.272
P 0.000 0.000 5.463
P 0.000 0.000 7.626
```

For the total magnetization, the calculation gives 0.00 μB per cell. The space group is No. 139. The calculated formation energy comes out at -0.384 eV per atom.



BaIn2P2 | PBE-GGA | relaxed

Cell and atoms, written as extended XYZ:
```
20
Lattice="10.124 0.000 0.000 0.000 4.239 0.000 -1.073 0.000 13.165" Properties=species:S:1:pos:R:3 pbc="T T T"
Ba 0.189 1.060 4.526
Ba 3.377 3.179 1.233
Ba 5.674 1.060 11.932
Ba 8.861 3.179 8.640
In -0.460 1.060 11.906
In 1.901 1.060 10.293
In 2.576 3.179 7.024
In 4.260 1.060 4.432
In 4.790 3.179 8.734
In 6.474 1.060 6.141
In 7.149 3.179 2.873
In 9.510 3.179 1.259
P 1.004 1.060 1.368
P 1.127 1.060 7.755
P 2.662 3.179 4.406
P 3.351 3.179 11.023
P 5.699 1.060 2.142
P 6.388 1.060 8.759
P 7.923 3.179 5.410
P 8.046 3.179 11.797
```

For the total magnetization, the calculation gives 0.00 μB per cell. The space group is No. 11. The calculated formation energy comes out at -0.565 eV per atom.



BaInP | PBE-GGA | relaxed

Cell and atoms, written as extended XYZ:
```
3
Lattice="0.000 3.703 3.703 3.703 0.000 3.703 3.703 3.703 0.000" Properties=species:S:1:pos:R:3 pbc="T T T"
Ba 0.000 0.000 0.000
In 5.555 5.555 5.555
P 3.703 3.703 3.703
```

For the total magnetization, the calculation gives 0.00 μB per cell. The space group is No. 216. The calculated formation energy comes out at -0.129 eV per atom.



Ba4In2P | PBE-GGA | relaxed

Cell and atoms, written as extended XYZ:
```
7
Lattice="-2.734 2.734 9.068 2.734 -2.734 9.068 2.734 2.734 -9.068" Properties=species:S:1:pos:R:3 pbc="T T T"
Ba 2.734 0.000 2.010
Ba 2.734 0.000 7.058
Ba 0.000 2.734 2.010
Ba 0.000 2.734 7.058
In 0.000 0.000 4.445
In 0.000 0.000 13.692
P 0.000 0.000 9.068
```

For the total magnetization, the calculation gives 0.00 μB per cell. The space group is No. 139. The calculated formation energy comes out at -0.515 eV per atom.



BaIn3P | PBE-GGA | relaxed

Cell and atoms, written as extended XYZ:
```
5
Lattice="5.392 0.000 0.000 0.000 5.392 0.000 0.000 0.000 5.392" Properties=species:S:1:pos:R:3 pbc="T T T"
Ba 0.000 0.000 0.000
In 0.000 2.696 2.696
In 2.696 0.000 2.696
In 2.696 2.696 0.000
P 2.696 2.696 2.696
```

For the total magnetization, the calculation gives 0.00 μB per cell. The space group is No. 221. The excess energy over the best structure of this formula in the dataset is 0.000 eV per atom. The calculated formation energy comes out at 0.018 eV per atom.



BaInP | PBE-GGA | relaxed

Cell and atoms, written as extended XYZ:
```
12
Lattice="7.773 0.000 0.000 0.000 5.024 0.000 0.000 0.000 9.550" Properties=species:S:1:pos:R:3 pbc="T T T"
Ba 1.024 1.256 1.513
Ba 2.863 3.768 6.288
Ba 4.910 1.256 3.262
Ba 6.750 3.768 8.037
In 0.082 3.768 3.998
In 3.805 1.256 8.774
In 3.968 3.768 0.777
In 7.692 1.256 5.552
P 1.231 1.256 7.834
P 2.656 3.768 3.059
P 5.118 1.256 6.491
P 6.542 3.768 1.716
```

For the total magnetization, the calculation gives 0.00 μB per cell. The space group is No. 62. The calculated formation energy comes out at -0.737 eV per atom.



BaInP | PBE-GGA | relaxed

Cell and atoms, written as extended XYZ:
```
3
Lattice="0.000 2.964 6.083 2.437 0.000 6.083 2.437 2.964 0.000" Properties=species:S:1:pos:R:3 pbc="T T T"
Ba 0.000 0.000 0.000
In 2.437 2.964 3.414
P 2.437 2.964 8.139
```

For the total magnetization, the calculation gives 0.00 μB per cell. The space group is No. 42. The calculated formation energy comes out at -0.402 eV per atom.



BaIn3P | PBE-GGA | relaxed

Cell and atoms, written as extended XYZ:
```
5
Lattice="6.381 0.000 0.000 0.000 6.381 0.000 0.000 0.000 6.381" Properties=species:S:1:pos:R:3 pbc="T T T"
Ba 0.000 0.000 0.000
In 0.000 0.000 3.190
In 0.000 3.190 0.000
In 3.190 0.000 0.000
P 3.190 3.190 3.190
```

For the total magnetization, the calculation gives 0.18 μB per cell. The space group is No. 221. The excess energy over the best structure of this formula in the dataset is 1.214 eV per atom. The calculated formation energy comes out at 1.232 eV per atom.



Ba2InP2 | PBE-GGA | relaxed

Cell and atoms, written as extended XYZ:
```
10
Lattice="8.197 0.000 0.000 0.000 8.197 0.000 0.000 0.000 4.488" Properties=species:S:1:pos:R:3 pbc="T T T"
Ba 1.190 2.908 0.000
Ba 2.908 7.007 0.000
Ba 5.288 1.190 0.000
Ba 7.007 5.288 0.000
In 0.000 0.000 2.244
In 4.098 4.098 2.244
P 1.369 5.467 2.244
P 2.729 1.369 2.244
P 5.467 6.828 2.244
P 6.828 2.729 2.244
```

For the total magnetization, the calculation gives 0.00 μB per cell. The space group is No. 127. The excess energy over the best structure of this formula in the dataset is 0.170 eV per atom. The calculated formation energy comes out at -0.609 eV per atom.



BaInP | PBE-GGA | relaxed

Cell and atoms, written as extended XYZ:
```
12
Lattice="0.000 5.730 7.379 4.862 0.000 7.379 4.862 5.730 0.000" Properties=species:S:1:pos:R:3 pbc="T T T"
Ba 3.647 4.298 0.417
Ba 6.078 7.163 4.107
Ba 3.647 4.298 10.651
Ba 6.078 7.163 14.341
In 4.862 2.865 3.689
In 2.431 5.730 3.689
In 2.431 2.865 7.379
In 4.862 5.730 7.379
P 6.130 4.298 5.534
P 8.561 7.163 9.224
P 1.164 4.298 5.534
P 3.595 7.163 9.224
```

For the total magnetization, the calculation gives 0.00 μB per cell. The space group is No. 70. The calculated formation energy comes out at -0.384 eV per atom.



Repeat the second record exactly.
Ba7In2P2 | PBE-GGA | relaxed

Cell and atoms, written as extended XYZ:
```
11
Lattice="4.636 -6.324 0.000 4.636 6.324 0.000 0.000 0.000 8.070" Properties=species:S:1:pos:R:3 pbc="T T T"
Ba 0.000 0.000 0.000
Ba 2.318 3.162 2.115
Ba 2.318 3.162 5.954
Ba 2.318 -3.162 2.115
Ba 2.318 -3.162 5.954
Ba 4.636 0.000 1.966
Ba 4.636 0.000 6.104
In 1.480 0.000 4.035
In 7.791 0.000 4.035
P 4.636 2.652 0.000
P 4.636 -2.652 0.000
```

For the total magnetization, the calculation gives 1.64 μB per cell. The space group is No. 65. The calculated formation energy comes out at -0.545 eV per atom.



Q: Number 7 is which compound?
A: BaIn3P